No. 1
## LaHoSb2O8 (PBE)

Data for crystalline LaHoSb2O8 at its relaxed geometry.

a = 5.3527 Å, b = 5.3527 Å, c = 6.8737 Å
α = 112.91°, β = 112.91°, γ = 90.00°
Positions (direct):
O1 0.6654 0.2309 0.8316
Sb1 0.5000 0.5000 0.0000
La1 0.7500 0.2500 0.5000
O2 0.3993 0.3346 0.1684
O3 0.0877 0.0073 0.6808
O4 0.9927 0.4069 0.3192
Ho1 0.0000 0.0000 0.0000
O5 0.7691 0.8338 0.1684
O6 0.1662 0.6007 0.8316
Sb2 0.2500 0.7500 0.5000
O7 0.5931 0.6736 0.6808
O8 0.3264 0.9123 0.3192

Summary:
**E_tot**: -7.11 eV/atom
**Fermi-level density of states**: 0.0000 states/eV per atom

***

No. 2
## LaHoSeO2 (PBE)

Data for crystalline LaHoSeO2 at its relaxed geometry.

a = 4.1111 Å, b = 6.6903 Å, c = 7.8152 Å
α = 108.49°, β = 90.00°, γ = 90.00°
Positions (direct):
Ho1 0.2500 0.6699 0.4209
La1 0.2500 0.6926 0.9291
O1 0.2500 0.4845 0.6110
Se1 0.7500 0.9522 0.2541
La2 0.7500 0.3074 0.0709
O2 0.7500 0.5149 0.8700
O3 0.7500 0.5155 0.3890
Se2 0.2500 0.0478 0.7459
Ho2 0.7500 0.3301 0.5791
O4 0.2500 0.4851 0.1300

Summary:
**E_tot**: -7.69 eV/atom
**Fermi-level density of states**: 0.0000 states/eV per atom

***

No. 3
## LaHoSe2O (PBE)

Data for crystalline LaHoSe2O at its relaxed geometry.

a = 4.0828 Å, b = 4.0828 Å, c = 14.5830 Å
α = 90.00°, β = 90.00°, γ = 90.00°
Positions (direct):
Se1 0.0000 0.5000 0.6997
O1 0.0000 0.0000 0.5000
Ho1 0.0000 0.5000 0.8789
Se2 0.0000 0.5000 0.0895
Ho2 0.5000 0.0000 0.1211
Se3 0.5000 0.0000 0.9105
La1 0.5000 0.0000 0.5845
Se4 0.5000 0.0000 0.3003
O2 0.5000 0.5000 0.5000
La2 0.0000 0.5000 0.4155

Summary:
**E_tot**: -6.74 eV/atom
**Fermi-level density of states**: 0.1747 states/eV per atom

***

No. 4
## LaHoSi2O7 (PBE)

Data for crystalline LaHoSi2O7 at its relaxed geometry.

a = 8.7869 Å, b = 5.4206 Å, c = 13.9755 Å
α = 67.09°, β = 90.00°, γ = 90.00°
Positions (direct):
O1 0.0789 0.7439 0.7462
Ho1 0.1237 0.7933 0.9094
La1 0.6920 0.4840 0.2766
Si1 0.7493 0.7713 0.4777
Ho2 0.3763 0.7933 0.4094
Si2 0.9987 0.9581 0.3107
Si3 0.2493 0.2287 0.0223
Si4 0.0013 0.0419 0.6893
O2 0.6764 0.9790 0.1759
La2 0.3080 0.5160 0.7234
O3 0.0862 0.2154 0.5797
O4 0.6847 0.0669 0.4622
O5 0.4138 0.2154 0.0797
O6 0.3153 0.9331 0.5378
La3 0.1920 0.5160 0.2234
O7 0.8236 0.9790 0.6759
O8 0.8153 0.0669 0.9622
O9 0.0203 0.1905 0.7715
O10 0.9211 0.2561 0.2538
O11 0.3756 0.3803 0.5717
Si5 0.7507 0.7713 0.9777
La4 0.8080 0.4840 0.7766
Si6 0.5013 0.9581 0.8107
O12 0.3236 0.0210 0.8241
O13 0.2637 0.4464 0.9029
Ho3 0.8763 0.2067 0.0906
O14 0.4211 0.7439 0.2462
O15 0.2363 0.4464 0.4029
O16 0.5862 0.7846 0.9203
O17 0.5203 0.8095 0.7285
O18 0.7637 0.5536 0.5971
O19 0.7363 0.5536 0.0971
Si7 0.4987 0.0419 0.1893
O20 0.6244 0.6197 0.4283
O21 0.1847 0.9331 0.0378
O22 0.4797 0.1905 0.2715
O23 0.1764 0.0210 0.3241
O24 0.5789 0.2561 0.7538
O25 0.9138 0.7846 0.4203
O26 0.9797 0.8095 0.2285
Si8 0.2507 0.2287 0.5223
O27 0.1244 0.3803 0.0717
O28 0.8756 0.6197 0.9283
Ho4 0.6237 0.2067 0.5906

Summary:
**E_tot**: -8.24 eV/atom
**Fermi-level density of states**: 0.0000 states/eV per atom

***

No. 5
## LaHo2TcO8 (PBE)

Data for crystalline LaHo2TcO8 at its relaxed geometry.

a = 5.0625 Å, b = 5.0574 Å, c = 6.9118 Å
α = 90.00°, β = 90.00°, γ = 89.60°
Positions (direct):
O1 0.7331 0.7340 0.0000
O2 0.6821 0.6838 0.5000
O3 0.8149 0.1862 0.8011
La1 0.0000 0.0000 0.5000
Ho1 0.5000 0.5000 0.2503
Tc1 0.0000 0.0000 0.0000
O4 0.8149 0.1861 0.1989
O5 0.1851 0.8138 0.1989
Ho2 0.5000 0.5000 0.7497
O6 0.3179 0.3162 0.5000
O7 0.1851 0.8139 0.8011
O8 0.2669 0.2660 0.0000

Summary:
**E_tot**: -7.98 eV/atom

***

No. 6
## LaHoTcO6 (PBE)

Data for crystalline LaHoTcO6 at its relaxed geometry.

a = 5.5105 Å, b = 5.5105 Å, c = 5.0922 Å
α = 90.00°, β = 90.00°, γ = 60.00°
Last column: magnetic moment on the atom in μB.
Positions (direct):
O1 0.6224 0.0399 0.2837  0.02
O2 0.0399 0.6224 0.7163  0.02
Tc1 0.3333 0.3333 0.5000  0.78
O3 0.3377 0.6224 0.2836  0.02
O4 0.3377 0.0399 0.7163  0.02
O5 0.6224 0.3377 0.7163  0.01
Ho1 0.6666 0.6667 0.5000  0.02
O6 0.0399 0.3377 0.2837  0.02
La1 0.0000 0.0000 0.0000  0.03

Summary:
**E_tot**: -8.04 eV/atom
**Fermi-level density of states**: 0.5543 states/eV per atom

***

No. 7
## LaHo2TeO8 (PBE)

Data for crystalline LaHo2TeO8 at its relaxed geometry.

a = 5.0022 Å, b = 5.0000 Å, c = 7.1185 Å
α = 90.00°, β = 90.00°, γ = 90.70°
Last column: magnetic moment on the atom in μB.
Positions (direct):
O1 0.3232 0.3225 0.5000  0.23
O2 0.1849 0.8144 0.7974  0.03
Te1 0.0000 0.0000 0.0000  -0.01
O3 0.6768 0.6775 0.5000  0.23
O4 0.7209 0.7215 0.0000  0.05
O5 0.8151 0.1855 0.7974  0.03
O6 0.2791 0.2785 0.0000  0.05
Ho1 0.5000 0.5000 0.7627  -0.01
O7 0.8151 0.1856 0.2026  0.03
O8 0.1849 0.8145 0.2026  0.03
La1 0.0000 0.0000 0.5000  0.05
Ho2 0.5000 0.5000 0.2373  -0.01

Summary:
**E_tot**: -7.26 eV/atom
**Fermi-level density of states**: 0.3697 states/eV per atom

***

No. 8
## La2HoTe2O2 (PBE)

Data for crystalline La2HoTe2O2 at its relaxed geometry.

a = 4.4271 Å, b = 4.4271 Å, c = 8.9683 Å
α = 104.29°, β = 104.29°, γ = 90.00°
Positions (direct):
Te1 0.8183 0.8183 0.6365
O1 0.5000 0.0000 0.0000
La1 0.3885 0.3885 0.7771
Te2 0.1817 0.1817 0.3635
La2 0.6115 0.6115 0.2229
Ho1 0.0000 0.0000 0.0000
O2 0.0000 0.5000 0.0000

Summary:
**E_tot**: -6.69 eV/atom
**Fermi-level density of states**: 0.5647 states/eV per atom